# 1
{
  "formula": "BeCo3Si",
  "functional": "GGA-PBEsol",
  "state": "optimized geometry",
  "lattice": [[3.727, 0.000, 0.000], [0.000, 3.727, 0.000], [0.000, 0.000, 3.727]],
  "species": ["Be", "Si", "Co", "Co", "Co"],
  "fractional_positions": [[0.000, 0.000, 0.000], [0.500, 0.500, 0.500], [0.000, 0.500, 0.000], [0.000, 0.000, 0.500], [0.500, 0.000, 0.000]],
  "energy_ev_per_atom": -6.329,
  "raw_formation_energy_ev_per_atom": 0.263,
  "total_magnetization_mub_per_cell": 1.0
}



# 2
{
  "formula": "BeCoSi2",
  "functional": "GGA-PBEsol",
  "state": "optimized geometry",
  "lattice": [[-0.939, -1.818, 1.720], [1.566, -2.961, -2.276], [3.699, 1.388, 1.410]],
  "species": ["Be", "Si", "Si", "Co"],
  "fractional_positions": [[0.493, 0.496, 0.985], [0.009, 0.024, 0.018], [0.251, 0.732, 0.502], [0.747, 0.248, 0.495]],
  "energy_ev_per_atom": -5.993,
  "raw_formation_energy_ev_per_atom": -0.185,
  "total_magnetization_mub_per_cell": 0.0
}



# 3
{
  "formula": "BeCoSi2",
  "functional": "GGA-PBEsol",
  "state": "optimized geometry",
  "lattice": [[-3.093, 2.025, 1.385], [-3.349, -1.884, 0.902], [-1.088, -0.395, 3.774]],
  "species": ["Be", "Si", "Si", "Co"],
  "fractional_positions": [[0.500, 0.500, 0.500], [0.000, 0.000, 0.000], [0.750, 0.750, 0.750], [0.250, 0.250, 0.250]],
  "energy_ev_per_atom": -5.697,
  "raw_formation_energy_ev_per_atom": 0.111,
  "total_magnetization_mub_per_cell": 0.0
}



# 4
{
  "formula": "BeCoSi",
  "functional": "GGA-PBEsol",
  "state": "optimized geometry",
  "lattice": [[2.641, 0.000, 0.000], [0.000, 3.084, 0.000], [-1.320, -1.542, 3.550]],
  "species": ["Be", "Si", "Co"],
  "fractional_positions": [[0.005, 0.005, 0.009], [0.331, 0.331, 0.662], [0.664, 0.664, 0.329]],
  "e_above_lowest_polymorph_kj_per_mol_atoms": 0.0,
  "energy_ev_per_atom": -6.311,
  "raw_formation_energy_ev_per_atom": -0.483,
  "total_magnetization_mub_per_cell": 0.0
}



# 5
{
  "formula": "BeCoSi2",
  "functional": "GGA-PBEsol",
  "state": "optimized geometry",
  "lattice": [[2.847, 0.000, 0.000], [0.000, 3.279, 0.000], [0.000, 0.000, 4.634]],
  "species": ["Be", "Si", "Si", "Co"],
  "fractional_positions": [[0.000, 0.000, 0.491], [0.000, 0.000, 0.979], [0.500, 0.500, 0.268], [0.500, 0.500, 0.762]],
  "energy_ev_per_atom": -5.975,
  "raw_formation_energy_ev_per_atom": -0.167,
  "total_magnetization_mub_per_cell": 0.0
}



# 6
{
  "formula": "BeCoSi",
  "functional": "GGA-PBEsol",
  "state": "optimized geometry",
  "lattice": [[2.479, 0.000, 0.000], [0.000, 3.689, 0.000], [0.000, -1.844, 3.194]],
  "species": ["Be", "Si", "Co"],
  "fractional_positions": [[0.011, 0.000, 0.000], [0.307, 0.667, 0.333], [0.682, 0.333, 0.667]],
  "e_above_lowest_polymorph_kj_per_mol_atoms": 23.2,
  "energy_ev_per_atom": -6.071,
  "raw_formation_energy_ev_per_atom": -0.243,
  "total_magnetization_mub_per_cell": 0.0
}



# 7
{
  "formula": "Sr2BeCo",
  "functional": "GGA-PBEsol",
  "state": "optimized geometry",
  "lattice": [[3.275, 0.000, 0.000], [0.000, 3.275, 0.000], [0.000, 0.000, 8.511]],
  "species": ["Sr", "Sr", "Co", "Be"],
  "fractional_positions": [[0.000, 0.000, 0.917], [0.500, 0.500, 0.337], [0.500, 0.500, 0.653], [0.000, 0.000, 0.593]],
  "energy_ev_per_atom": -3.454,
  "total_magnetization_mub_per_cell": 0.8,
  "formation_energy_mev_per_atom": 401
}



# 8
{
  "formula": "TaBe2Co2",
  "functional": "GGA-PBEsol",
  "state": "optimized geometry",
  "lattice": [[-0.076, -1.747, 1.902], [2.740, -4.285, -3.827], [5.742, 1.905, 1.979]],
  "species": ["Be", "Be", "Be", "Be", "Co", "Co", "Co", "Co", "Ta", "Ta"],
  "fractional_positions": [[0.000, 0.384, 0.884], [0.000, 0.884, 0.616], [0.000, 0.616, 0.116], [0.000, 0.116, 0.384], [0.500, 0.177, 0.677], [0.500, 0.677, 0.823], [0.500, 0.823, 0.323], [0.500, 0.323, 0.177], [0.000, 0.000, 0.000], [0.000, 0.500, 0.500]],
  "energy_ev_per_atom": -7.438,
  "total_magnetization_mub_per_cell": 0.0,
  "formation_energy_mev_per_atom": -233
}